# 1
## Y2AlFe5B2 (PBE)

Data for a geometry-optimized Y2AlFe5B2 structure.

POSCAR file:
```
Y2AlFe5B2
1.0
9.051 0.000 0.000
0.000 9.051 0.000
0.000 0.000 3.178
Y Al Fe B
4 2 10 4
direct
0.179 0.321 0.000
0.321 0.821 0.000
0.679 0.179 0.000
0.821 0.679 0.000
0.000 0.000 0.000
0.500 0.500 0.000
0.000 0.500 0.500
0.068 0.769 0.500
0.231 0.068 0.500
0.269 0.568 0.500
0.432 0.269 0.500
0.500 0.000 0.500
0.568 0.731 0.500
0.731 0.432 0.500
0.769 0.932 0.500
0.932 0.231 0.500
0.117 0.617 0.000
0.383 0.117 0.000
0.617 0.883 0.000
0.883 0.383 0.000
```

Output
Formation enthalpy at 0 K, eV/atom: -0.186
Electronic total energy, eV/atom: -7.420
Total magnetic moment, μB/atom: 0.648

***

# 2
## Ba2HfScSe6 (PBE)

Data for a geometry-optimized Ba2HfScSe6 structure.

POSCAR file:
```
Ba2HfScSe6
1.0
7.426 0.000 0.000
0.000 10.499 0.000
0.000 0.000 7.425
Ba Hf Sc Se
4 2 2 12
direct
0.250 0.000 0.250
0.250 0.500 0.250
0.750 0.000 0.750
0.750 0.500 0.750
0.250 0.250 0.750
0.750 0.750 0.250
0.250 0.750 0.750
0.750 0.250 0.250
0.001 0.250 0.000
0.001 0.250 0.501
0.250 0.001 0.750
0.250 0.499 0.750
0.499 0.250 0.000
0.499 0.250 0.501
0.501 0.750 0.000
0.501 0.750 0.499
0.750 0.501 0.250
0.750 0.999 0.250
0.999 0.750 0.000
0.999 0.750 0.499
```

Output
ΔE_f (raw), meV per atom: -1588
Electronic total energy, eV/atom: -5.692
Total magnetic moment, μB/atom: 0.000

***

# 3
## FeSb2Cl (PBE)

Data for a geometry-optimized FeSb2Cl structure.

POSCAR file:
```
FeSb2Cl
1.0
3.402 -1.963 0.000
3.402 1.963 0.000
-2.291 0.000 7.625
Fe Sb Cl
1 2 1
direct
0.000 0.000 0.000
0.385 0.385 0.153
0.615 0.615 0.847
0.500 0.500 0.500
```

Output
ΔE_f (raw), meV per atom: -82
Electronic total energy, eV/atom: -4.721
Polymorph energy (0 for the lowest one), meV/atom: 0
Total magnetic moment, μB/atom: 0.101